RbBeNb: relaxed, GGA-PBE.

POSCAR file:
```
RbBeNb
1.0
7.0277 0.0000 0.0000
0.0000 7.0277 0.0000
0.0000 0.0000 7.0277
Rb Be Nb
4 4 4
Direct
0.0000 0.0000 0.0000 Rb
0.0000 0.5000 0.5000 Rb
0.5000 0.0000 0.5000 Rb
0.5000 0.5000 0.0000 Rb
0.2500 0.2500 0.7500 Be
0.2500 0.7500 0.2500 Be
0.7500 0.2500 0.2500 Be
0.7500 0.7500 0.7500 Be
0.0000 0.0000 0.5000 Nb
0.0000 0.5000 0.0000 Nb
0.5000 0.0000 0.0000 Nb
0.5000 0.5000 0.5000 Nb
```

Properties
symmetry	F-43m
energy	-2.92	eV per atom